Entry 1:
ScMn2IrC | PBE | optimized geometry

Cell and atoms, written as POSCAR:
```
ScMn2IrC
1.0
3.915 0.000 0.000
0.000 3.915 0.000
0.000 0.000 4.123
Sc Mn Ir C
1 2 1 1
Cartesian
0.000 0.000 0.000
0.000 1.958 2.062
1.958 0.000 2.062
1.958 1.958 0.000
1.958 1.958 2.062
```

Output
Energy, eV/f.u.: -43.96
V, A^3/atom: 12.6
Energy of formation from the pure elements, eV/atom: -0.2406

=====

Entry 2:
NiH6PtPb | PBE | optimized geometry

Cell and atoms, written as POSCAR:
```
NiH6PtPb
1.0
4.765 0.000 0.000
-2.383 4.127 0.000
0.000 0.000 4.742
Ni H Pt Pb
1 6 1 1
Cartesian
0.000 0.000 0.000
1.429 0.198 0.873
0.886 1.139 3.869
3.336 0.198 3.869
1.839 2.790 0.873
3.879 1.139 0.873
2.926 2.790 3.869
2.383 1.376 0.000
0.000 2.751 2.371
```

Output
Energy, eV/f.u.: -35.36
V, A^3/atom: 10.4

=====

Entry 3:
Nd8GeRh3Br4 | PBE | optimized geometry

Cell and atoms, written as POSCAR:
```
Nd8GeRh3Br4
1.0
4.203 2.427 7.691
-4.203 2.427 7.691
0.000 -4.853 7.691
Nd Ge Rh Br
8 1 3 4
Cartesian
-2.177 -1.257 13.059
0.000 0.000 5.387
0.000 -2.513 10.013
-2.177 1.257 10.013
2.177 -1.257 13.059
0.000 2.513 13.059
0.000 0.000 17.685
2.177 1.257 10.013
0.000 0.000 11.536
-4.203 0.000 11.536
-2.101 1.213 3.845
2.101 1.213 3.845
0.000 0.000 0.000
-2.101 -1.213 7.691
-2.101 1.213 15.381
0.000 2.427 7.691
```

Output
Energy, eV/f.u.: -88.10
V, A^3/atom: 29.4
Raw formation energy, eV/atom: -1.037